This record from Alexandria via LeMat-Bulk describes an optimized crystal structure of BaLiInHg3. The functional is PBE-GGA.

Output
Total energy = -1.541 eV/atom
V = 28.13 Å³ per atom
ΔH_f (0 K) = -0.295 eV per atom
SG = Cmcm, No. 63

Cell: 6.958 7.096 7.701 Å, 117.43 90.00 90.00°
Element x y z (fractional)
Hg 0.250 0.149 0.298
Hg 0.500 0.272 0.000
Hg 0.500 0.728 0.000
Hg 0.000 0.272 0.000
Hg 0.000 0.728 0.000
Hg 0.750 0.851 0.702
Ba 0.250 0.709 0.418
Ba 0.750 0.291 0.582
In 0.250 0.365 0.731
In 0.750 0.635 0.269
Li 0.750 0.047 0.093
Li 0.250 0.953 0.907